# Tc5As (meta-GGA SCAN, single point on PBEsol structure)
data_Tc5As
_chemical_formula_sum 'Tc5 As1'
_cell_length_a 4.6996
_cell_length_b 4.6996
_cell_length_c 4.3744
_cell_angle_alpha 90.00
_cell_angle_beta 90.00
_cell_angle_gamma 120.00
_space_group_name_H-M_alt 'P -6 2 m'
_space_group_IT_number 189
_space_group_name_Hall 'P -6 -2'
loop_
_atom_site_label
_atom_site_type_symbol
_atom_site_fract_x
_atom_site_fract_y
_atom_site_fract_z
_atom_site_occupancy
Tc1 Tc 0.0000 0.6703 0.0000 1
Tc2 Tc 0.3333 0.6667 0.5000 1
As1 As 0.0000 0.0000 0.5000 1
# Crystal system: hexagonal
# Magnetization in Bohr magnetons per cell: 0.0
# Calculated volume in A^3/atom: 13.9
# DOS at the Fermi energy in states/eV per cell: 4.34
# VASP energy in eV/cell: -195.48
# Formation enthalpy at 0 K in eV per formula unit: 0.01

=====

# TcTeAs (meta-GGA SCAN, single point on PBEsol structure)
data_TcTeAs
_chemical_formula_sum 'Tc1 Te1 As1'
_cell_length_a 3.3683
_cell_length_b 3.3683
_cell_length_c 5.9507
_cell_angle_alpha 90.00
_cell_angle_beta 90.00
_cell_angle_gamma 120.00
_space_group_name_H-M_alt 'P 3 m 1'
_space_group_IT_number 156
loop_
_space_group_symop_operation_xyz
'x,y,z'
'-y,x-y,z'
'-x+y,-x,z'
'-y,-x,z'
'-x+y,y,z'
'x,x-y,z'
loop_
_atom_site_label
_atom_site_type_symbol
_atom_site_fract_x
_atom_site_fract_y
_atom_site_fract_z
_atom_site_occupancy
Tc1 Tc 0.0000 0.0000 0.0000 1
Te1 Te 0.6667 0.3333 0.6868 1
As1 As 0.3333 0.6667 0.2647 1
# Crystal system: trigonal
# Magnetization in Bohr magnetons per cell: 0.0
# Calculated volume in A^3/atom: 19.5
# DOS at the Fermi energy in states/eV per cell: 1.35
# Uncorrected formation energy in eV per atom: 0.03
# VASP energy in eV/cell: -92.42

=====

Which value of DOS at the Fermi energy does entry 1 give? 4.34 states/eV per cell

=====

Number 1 is which compound? Tc5As